Here is a relaxed structure of Ta2Ti2Nb15 from Alexandria. Energies are from PBE-GGA.

abc: 9.5616 9.5616 13.9185
angles: 90.00 90.00 120.00
Space group R-3m (No. 166, hexagonal axes)
Inequivalent atoms, fractional coordinates:
Ta1 0.0000 0.0000 0.2011
Ti1 0.0000 0.0000 0.4059
Nb1 0.0000 0.3206 0.5000
Nb2 0.0000 0.5000 0.0000
Nb3 0.0042 0.5021 0.6566

Output
DFT formation energy = 0.332 eV/atom
density = 8368 kg/m³
V = 1102.0 Å³ per cell

---

Here is a relaxed structure of Ta2TiNb from Alexandria. Energies are from PBE-GGA.

abc: 7.3711 7.3711 5.5649
angles: 90.00 90.00 90.00
Space group I-42d (No. 122)
Inequivalent atoms, fractional coordinates:
Ta1 0.2481 0.2500 0.1250
Ti1 0.0000 0.0000 0.0000
Nb1 0.0000 0.0000 0.5000

Output
excess energy over the best structure of this formula in the dataset = 591.3 meV/atom
DFT formation energy = 0.624 eV/atom
density = 11042 kg/m³
V = 302.4 Å³ per cell

---

Here is a relaxed structure of Ta3Ti4Nb4 from Alexandria. Energies are from PBE-GGA.

abc: 2.8580 4.6301 15.0252
angles: 98.79 93.85 90.00
Space group P-1 (No. 2)
Inequivalent atoms, fractional coordinates:
Ta1 0.0000 0.0000 0.0000
Ta2 0.1224 0.6368 0.2740
Ti1 0.2151 0.2741 0.5467
Ti2 0.3027 0.9079 0.8165
Nb1 0.3614 0.5460 0.0921
Nb2 0.4391 0.1813 0.3648

Output
DFT formation energy = 0.021 eV/atom
density = 9368 kg/m³
V = 196.0 Å³ per cell

---

Here is a relaxed structure of Ta4Ti5Nb from Alexandria. Energies are from PBE-GGA.

abc: 16.5930 3.3045 6.5765
angles: 90.00 101.00 90.00
Space group C2/m (No. 12)
Inequivalent atoms, fractional coordinates:
Ta1 0.0984 0.0000 0.2903
Ta2 0.2029 0.5000 0.1075
Ti1 0.0000 0.5000 0.5000
Ti2 0.1014 0.0000 0.8101
Ti3 0.1959 0.5000 0.5894
Nb1 0.0000 0.5000 0.0000

Output
DFT formation energy = 0.055 eV/atom
density = 9908 kg/m³
V = 354.0 Å³ per cell

---

Here is a relaxed structure of TaTi3Nb3 from Alexandria. Energies are from PBE-GGA.

abc: 7.1624 4.6760 8.1012
angles: 90.00 113.49 90.00
Space group P2_1/m (No. 11)
Inequivalent atoms, fractional coordinates:
Ta1 0.1401 0.2500 0.4719
Ti1 0.1454 0.7500 0.9626
Ti2 0.2826 0.2500 0.1916
Ti3 0.4154 0.2500 0.8951
Nb1 0.0127 0.7500 0.2481
Nb2 0.2918 0.7500 0.6925
Nb3 0.4319 0.7500 0.3989

Output
DFT formation energy = 0.032 eV/atom
density = 8052 kg/m³
V = 248.8 Å³ per cell

---

Here is a relaxed structure of Ta5TiNb2 from Alexandria. Energies are from PBE-GGA.

abc: 6.6273 6.6273 6.6174
angles: 90.00 90.00 90.00
Space group I4/mmm (No. 139)
Inequivalent atoms, fractional coordinates:
Ta1 0.0000 0.0000 0.0000
Ta2 0.2500 0.2500 0.2500
Ti1 0.0000 0.0000 0.5000
Nb1 0.0000 0.5000 0.0000

Output
DFT formation energy = 0.017 eV/atom
density = 13008 kg/m³
V = 290.6 Å³ per cell

---

Here is a relaxed structure of Ta2TiNb6 from Alexandria. Energies are from PBE-GGA.

abc: 4.6954 5.4835 7.1873
angles: 110.20 108.95 90.22
Space group P-1 (No. 2)
Inequivalent atoms, fractional coordinates:
Ta1 0.1116 0.0659 0.2234
Ti1 0.0000 0.5000 0.0000
Nb1 0.2259 0.6215 0.4519
Nb2 0.3373 0.1719 0.6739
Nb3 0.4468 0.7240 0.8933

Output
excess energy over the best structure of this formula in the dataset = 0.0 meV/atom
DFT formation energy = -0.007 eV/atom
density = 9862 kg/m³
V = 162.9 Å³ per cell

---

Here is a relaxed structure of Ta3Ti4Nb2 from Alexandria. Energies are from PBE-GGA.

abc: 13.3552 9.8006 4.9751
angles: 90.00 99.06 90.00
Space group C2/c (No. 15)
Inequivalent atoms, fractional coordinates:
Ta1 0.0000 0.1262 0.2500
Ta2 0.1656 0.3754 0.0792
Ti1 0.0562 0.3760 0.5259
Ti2 0.2238 0.1254 0.3646
Nb1 0.1127 0.1258 0.8099

Output
DFT formation energy = 0.126 eV/atom
density = 9504 kg/m³
V = 643.1 Å³ per cell

---

Here is a relaxed structure of Ta2TiNb from Alexandria. Energies are from PBE-GGA.

abc: 4.6653 4.6653 3.2881
angles: 90.00 90.00 90.00
Space group P4/mmm (No. 123)
Inequivalent atoms, fractional coordinates:
Ta1 0.0000 0.5000 0.0000
Ti1 0.0000 0.0000 0.5000
Nb1 0.5000 0.5000 0.5000

Output
excess energy over the best structure of this formula in the dataset = 0.0 meV/atom
DFT formation energy = 0.033 eV/atom
density = 11663 kg/m³
V = 71.6 Å³ per cell

---

Here is a relaxed structure of Ta8Ti2Nb from Alexandria. Energies are from PBE-GGA.

abc: 9.6487 5.5742 7.6672
angles: 90.00 90.10 90.00
Space group C2/m (No. 12)
Inequivalent atoms, fractional coordinates:
Ta1 0.0851 0.2461 0.2833
Ta2 0.1666 0.0000 0.9389
Ta3 0.1688 0.5000 0.7165
Ti1 0.1662 0.0000 0.5777
Nb1 0.0000 0.5000 0.0000

Output
DFT formation energy = 0.223 eV/atom
density = 13177 kg/m³
V = 412.4 Å³ per cell

---

Here is a relaxed structure of TaTiNb3 from Alexandria. Energies are from PBE-GGA.

abc: 13.9843 4.6382 5.7750
angles: 90.00 106.03 90.00
Space group C2/m (No. 12)
Inequivalent atoms, fractional coordinates:
Ta1 0.1958 0.0000 0.0415
Ti1 0.1020 0.5000 0.6565
Nb1 0.0057 0.0000 0.2573
Nb2 0.0985 0.5000 0.1509
Nb3 0.2042 0.0000 0.5526

Output
excess energy over the best structure of this formula in the dataset = 0.0 meV/atom
DFT formation energy = -0.003 eV/atom
density = 9364 kg/m³
V = 360.0 Å³ per cell

---

Here is a relaxed structure of Ta2Ti8Nb from Alexandria. Energies are from PBE-GGA.

abc: 13.6206 4.7103 6.9348
angles: 90.00 120.25 90.00
Space group C2/m (No. 12)
Inequivalent atoms, fractional coordinates:
Ta1 0.2116 0.0000 0.2877
Ti1 0.0273 0.0000 0.8304
Ti2 0.0982 0.5000 0.2496
Ti3 0.1511 0.0000 0.6122
Ti4 0.1746 0.5000 0.9434
Nb1 0.0000 0.5000 0.5000

Output
DFT formation energy = 0.074 eV/atom
density = 7239 kg/m³
V = 384.3 Å³ per cell